No. 1
AcGa3CuPd after structural relaxation. Source: Alexandria, functional PBE.

It has space group Cmcm (No. 63), with a = 6.5990 Å, b = 12.3638 Å, c = 6.4289 Å, α = 90.00°, β = 90.00° and γ = 90.00°. The asymmetric unit holds Ac at (0.0000, 0.2396, 0.2500), Ga at (0.0000, 0.2151, 0.7500), Ga at (0.2088, 0.5000, 0.0000), Cu at (0.0000, 0.3997, 0.7500) and Pd at (0.0000, 0.0220, 0.7500).

As for the crystal system: orthorhombic. For the raw total energy, the calculation gives -4.112 eV per atom. The formation enthalpy at 0 K is -2.2 eV per formula unit.

***

No. 2
Ca3Dy2HoSe6 after structural relaxation. Source: Alexandria, functional PBE.

It has space group C2/m (No. 12), with a = 7.1104 Å, b = 12.3018 Å, c = 7.2248 Å, α = 90.00°, β = 109.18° and γ = 90.00°. The asymmetric unit holds Ca at (0.0000, 0.0000, 0.0000), Ca at (0.0000, 0.3330, 0.0000), Dy at (0.0000, 0.1664, 0.5000), Ho at (0.0000, 0.5000, 0.5000), Se at (0.2476, 0.3338, 0.7449) and Se at (0.2496, 0.0000, 0.7452).

As for the crystal system: monoclinic. For the raw total energy, the calculation gives -5.261 eV per atom. As for the uncorrected formation energy: -1.870 eV per atom.

***

No. 3
La4ZnSn after structural relaxation. Source: Alexandria, functional PBE.

It has space group F-43m (No. 216), with a = 14.5756 Å, b = 14.5756 Å, c = 14.5756 Å, α = 90.00°, β = 90.00° and γ = 90.00°. The asymmetric unit holds La at (0.0000, 0.0000, 0.1882), La at (0.0480, 0.2500, 0.7500), La at (0.1120, 0.1120, 0.3880), Zn at (0.1054, 0.1054, 0.6054) and Sn at (0.1631, 0.1631, 0.1631).

As for the crystal system: cubic. For the raw total energy, the calculation gives -4.493 eV per atom. The formation enthalpy at 0 K is -2.0 eV per formula unit.

***

No. 4
LaDy3N4 after structural relaxation. Source: Alexandria, functional PBE.

It has space group P2/c (No. 13), with a = 6.1427 Å, b = 7.1045 Å, c = 6.1353 Å, α = 90.00°, β = 109.49° and γ = 90.00°. The asymmetric unit holds La at (0.0000, 0.1266, 0.2500), Dy at (0.0000, 0.3779, 0.7500), Dy at (0.5000, 0.1332, 0.7500), Dy at (0.5000, 0.3757, 0.2500), N at (0.2529, 0.3777, 0.5078) and N at (0.2613, 0.1374, 0.9959).

As for the crystal system: monoclinic. For the raw total energy, the calculation gives -8.076 eV per atom. As for the uncorrected formation energy: -1.571 eV per atom.

***

| no. | size of the total moment (μB/f.u.) |
| --- | --- |
| 1 | 0.0 |
| 2 | 0.0 |
| 3 | 0.1 |
| 4 | 0.0 |